1.
LiOsRh2: PBEsol geometry, SCAN.

Computed properties:
- excess energy over the best structure of this formula in the dataset (kcal/mol of atoms) = 3.092
- Fermi-level density of states (states/eV/atom) = 0.787
- ΔH_f (0 K) (eV/atom) = 0.18
- energy (eV per cell) = -141.1

abc: 3.8665 3.8665 3.5094
angles: 90.00 90.00 90.00
Element x y z (fractional)
1 Li 0.0000 0.0000 0.0000
2 Os 0.5000 0.5000 0.0000
3 Rh 0.0000 0.5000 0.5000
4 Rh 0.5000 0.0000 0.5000

=====

2.
TiSiSb2Te: PBEsol geometry, SCAN.

Computed properties:
- excess energy over the best structure of this formula in the dataset (kcal/mol of atoms) = 2.764
- uncorrected formation energy (eV per atom) = 0.72
- Fermi-level density of states (states/eV/atom) = 0.722
- energy (eV per cell) = -134.2

abc: 5.0542 5.0542 5.2013
angles: 90.00 90.00 90.00
Element x y z (fractional)
1 Ti 0.0000 0.0000 0.0000
2 Si 0.5000 0.5000 0.5000
3 Sb 0.0000 0.5000 0.5000
4 Sb 0.5000 0.0000 0.5000
5 Te 0.5000 0.5000 0.0000

=====

3.
SmCo9Si2: PBEsol geometry, SCAN.

Computed properties:
- uncorrected formation energy (eV per atom) = -0.21
- Fermi-level density of states (states/eV/atom) = 0.931
- energy (eV per cell) = -445.4

abc: 7.4284 7.4284 7.4284
angles: 100.01 100.01 130.71
Element x y z (fractional)
1 Sm 0.3750 0.6250 0.7500
2 Sm 0.6250 0.3750 0.2500
3 Co 0.1250 0.8750 0.2500
4 Co 0.1401 0.5598 0.3319
5 Co 0.1401 0.8082 0.5803
6 Co 0.1918 0.2720 0.3319
7 Co 0.1918 0.8599 0.9197
8 Co 0.2720 0.1918 0.8319
9 Co 0.2720 0.4402 0.0803
10 Co 0.4402 0.2720 0.5803
11 Co 0.4402 0.8599 0.1681
12 Co 0.5598 0.1401 0.8319
13 Co 0.5598 0.7280 0.4197
14 Co 0.7280 0.5598 0.9197
15 Co 0.7280 0.8082 0.1681
16 Co 0.8082 0.1401 0.0803
17 Co 0.8082 0.7280 0.6681
18 Co 0.8599 0.1918 0.4197
19 Co 0.8599 0.4402 0.6681
20 Co 0.8750 0.1250 0.7500
21 Si 0.0000 0.0000 0.0000
22 Si 0.0000 0.0000 0.5000
23 Si 0.0000 0.5000 0.0000
24 Si 0.5000 0.0000 0.5000

=====

4.
BeCrFe2: PBEsol geometry, SCAN.

Computed properties:
- Fermi-level density of states (states/eV/atom) = 0.583
- ΔH_f (0 K) (eV/atom) = 0.03
- energy (eV per cell) = -58.9

abc: 2.6945 2.6945 5.2474
angles: 90.00 90.00 90.00
Element x y z (fractional)
1 Be 0.0000 0.0000 0.0000
2 Cr 0.0000 0.0000 0.5000
3 Fe 0.5000 0.5000 0.2379
4 Fe 0.5000 0.5000 0.7621

=====

5.
Ba5Re3ClO15: PBEsol geometry, SCAN.

Computed properties:
- uncorrected formation energy (eV per atom) = -2.50
- Fermi-level density of states (states/eV/atom) = 0.000
- energy (eV per cell) = -1145.2

abc: 10.9123 10.9123 7.7979
angles: 90.00 90.00 120.00
Element x y z (fractional)
1 Ba 0.0000 0.2626 0.0000
2 Ba 0.0000 0.7374 0.5000
3 Ba 0.2626 0.0000 0.0000
4 Ba 0.2626 0.2626 0.5000
5 Ba 0.3333 0.6667 0.2405
6 Ba 0.3333 0.6667 0.7405
7 Ba 0.6667 0.3333 0.2405
8 Ba 0.6667 0.3333 0.7405
9 Ba 0.7374 0.0000 0.5000
10 Ba 0.7374 0.7374 0.0000
11 Re 0.0000 0.3904 0.4453
12 Re 0.0000 0.6096 0.9453
13 Re 0.3904 0.0000 0.4453
14 Re 0.3904 0.3904 0.9453
15 Re 0.6096 0.0000 0.9453
16 Re 0.6096 0.6096 0.4453
17 Cl 0.0000 0.0000 0.2914
18 Cl 0.0000 0.0000 0.7914
19 O 0.0000 0.2922 0.6237
20 O 0.0000 0.7078 0.1237
21 O 0.1318 0.5532 0.9864
22 O 0.1318 0.5785 0.4864
23 O 0.1334 0.3893 0.3024
24 O 0.1334 0.7441 0.8024
25 O 0.2559 0.3893 0.8024
26 O 0.2559 0.8666 0.3024
27 O 0.2922 0.0000 0.6237
28 O 0.2922 0.2922 0.1237
29 O 0.3893 0.1334 0.3024
30 O 0.3893 0.2559 0.8024
31 O 0.4215 0.5532 0.4864
32 O 0.4215 0.8682 0.9864
33 O 0.4468 0.5785 0.9864
34 O 0.4468 0.8682 0.4864
35 O 0.5532 0.1318 0.9864
36 O 0.5532 0.4215 0.4864
37 O 0.5785 0.1318 0.4864
38 O 0.5785 0.4468 0.9864
39 O 0.6107 0.7441 0.3024
40 O 0.6107 0.8666 0.8024
41 O 0.7078 0.0000 0.1237
42 O 0.7078 0.7078 0.6237
43 O 0.7441 0.1334 0.8024
44 O 0.7441 0.6107 0.3024
45 O 0.8666 0.2559 0.3024
46 O 0.8666 0.6107 0.8024
47 O 0.8682 0.4215 0.9864
48 O 0.8682 0.4468 0.4864

=====

6.
Sr2YGeP: PBEsol geometry, SCAN.

Computed properties:
- Fermi-level density of states (states/eV/atom) = 1.030
- ΔH_f (0 K) (eV/atom) = 0.85
- energy (eV per cell) = -97.6

abc: 6.1625 6.1625 5.0432
angles: 90.00 90.00 90.00
Element x y z (fractional)
1 Sr 0.0000 0.5000 0.0000
2 Sr 0.5000 0.0000 0.0000
3 Y 0.0000 0.0000 0.0000
4 Ge 0.0000 0.0000 0.5000
5 P 0.5000 0.5000 0.5000

=====

7.
Cr2TcP: PBEsol geometry, SCAN.

Computed properties:
- Fermi-level density of states (states/eV/atom) = 0.790
- ΔH_f (0 K) (eV/atom) = -0.20
- energy (eV per cell) = -83.0

abc: 4.0443 4.0443 4.0443
angles: 60.00 60.00 60.00
Element x y z (fractional)
1 Cr 0.0000 0.0000 0.0000
2 Cr 0.2500 0.2500 0.2500
3 Tc 0.7500 0.7500 0.7500
4 P 0.5000 0.5000 0.5000

=====

8.
SrCaPb2: PBEsol geometry, SCAN.

Computed properties:
- Fermi-level density of states (states/eV/atom) = 0.335
- ΔH_f (0 K) (eV/atom) = -0.71
- energy (eV per cell) = -186.3

abc: 5.0913 5.0913 4.6781
angles: 90.00 90.00 90.00
Element x y z (fractional)
1 Sr 0.0000 0.0000 0.0000
2 Ca 0.5000 0.5000 0.0000
3 Pb 0.0000 0.5000 0.5000
4 Pb 0.5000 0.0000 0.5000